{"formula": "Na3BiI", "functional": "PBE", "state": "relaxed", "lattice_angstrom": [[6.042, 0.000, 0.000], [0.000, 6.042, 0.000], [0.000, 0.000, 6.042]], "species": ["Na", "Na", "Na", "Bi", "I"], "fractional_positions": [[0.000, 0.000, 0.500], [0.000, 0.500, 0.000], [0.500, 0.000, 0.000], [0.000, 0.000, 0.000], [0.500, 0.500, 0.500]], "polymorph_energy_mev_per_atom": 259, "raw_formation_energy_ev_per_atom": -0.348, "space_group": "No. 221", "dft_energy_ev_per_atom": -2.23}



{"formula": "Mo3AsN", "functional": "PBE", "state": "relaxed", "lattice_angstrom": [[4.126, 0.000, 0.000], [0.000, 4.126, 0.000], [0.000, 0.000, 4.126]], "species": ["Mo", "Mo", "Mo", "As", "N"], "fractional_positions": [[0.000, 0.000, 0.500], [0.000, 0.500, 0.000], [0.500, 0.000, 0.000], [0.500, 0.500, 0.500], [0.000, 0.000, 0.000]], "polymorph_energy_mev_per_atom": 0, "raw_formation_energy_ev_per_atom": 0.053, "space_group": "No. 221", "dft_energy_ev_per_atom": -9.04}



{"formula": "Ce2BiPb", "functional": "PBE", "state": "relaxed", "lattice_angstrom": [[7.864, 0.000, 0.000], [0.000, 7.864, 0.000], [0.000, 0.000, 7.864]], "species": ["Ce", "Ce", "Ce", "Ce", "Ce", "Ce", "Ce", "Ce", "Bi", "Bi", "Bi", "Bi", "Pb", "Pb", "Pb", "Pb"], "fractional_positions": [[0.250, 0.250, 0.250], [0.250, 0.250, 0.750], [0.250, 0.750, 0.250], [0.250, 0.750, 0.750], [0.750, 0.250, 0.250], [0.750, 0.250, 0.750], [0.750, 0.750, 0.250], [0.750, 0.750, 0.750], [0.000, 0.000, 0.000], [0.000, 0.500, 0.500], [0.500, 0.000, 0.500], [0.500, 0.500, 0.000], [0.000, 0.000, 0.500], [0.000, 0.500, 0.000], [0.500, 0.000, 0.000], [0.500, 0.500, 0.500]], "polymorph_energy_mev_per_atom": 67, "e_form_mev_per_atom": -451, "space_group": "No. 225", "dft_energy_ev_per_atom": -5.32}



{"formula": "USi", "functional": "PBE", "state": "relaxed", "lattice_angstrom": [[8.622, 0.000, 0.000], [0.000, 3.603, 0.000], [0.000, 0.000, 5.012]], "species": ["U", "U", "U", "U", "Si", "Si", "Si", "Si"], "fractional_positions": [[0.214, 0.250, 0.135], [0.286, 0.750, 0.635], [0.714, 0.250, 0.365], [0.786, 0.750, 0.865], [0.021, 0.250, 0.658], [0.479, 0.750, 0.158], [0.521, 0.250, 0.842], [0.979, 0.750, 0.342]], "raw_formation_energy_ev_per_atom": -0.209, "space_group": "No. 62", "dft_energy_ev_per_atom": -8.57}



Please write out number 2 again, unchanged.
{"formula": "Mo3AsN", "functional": "PBE", "state": "relaxed", "lattice_angstrom": [[4.126, 0.000, 0.000], [0.000, 4.126, 0.000], [0.000, 0.000, 4.126]], "species": ["Mo", "Mo", "Mo", "As", "N"], "fractional_positions": [[0.000, 0.000, 0.500], [0.000, 0.500, 0.000], [0.500, 0.000, 0.000], [0.500, 0.500, 0.500], [0.000, 0.000, 0.000]], "polymorph_energy_mev_per_atom": 0, "raw_formation_energy_ev_per_atom": 0.053, "space_group": "No. 221", "dft_energy_ev_per_atom": -9.04}